Computed, not measured: a relaxed MnNbGeHI crystal at the GGA-PBE level of DFT.

D(E_F): 2.50 states/eV per cell
uncorrected energy: -5.420 eV per atom
density: 6.23 g cm⁻³

a b c (Å): 5.899 3.834 8.526
angles (deg): 90.00 105.63 90.00
Positions (direct):
Mn  0.890  0.000  0.033
Mn  0.890  0.500  0.533
I  0.590  0.500  0.868
I  0.590  0.000  0.368
Nb  0.260  0.500  0.513
Nb  0.260  0.000  0.013
H  0.948  0.500  0.360
H  0.948  0.000  0.860
Ge  0.104  0.500  0.177
Ge  0.104  0.000  0.677

Computed, not measured: a relaxed ScAgSe3 crystal at the GGA-PBE level of DFT.

D(E_F): 2.58 states/eV per cell
formation energy without anion corrections: 0.06 eV/atom
uncorrected energy: -3.868 eV per atom
density: 5.14 g cm⁻³

a b c (Å): 5.013 5.013 5.013
angles (deg): 90.00 90.00 90.00
Positions (direct):
Se  0.000  0.500  0.000
Se  0.500  0.000  0.000
Se  0.000  0.000  0.500
Sc  0.500  0.500  0.500
Ag  0.000  0.000  0.000

Computed, not measured: a relaxed Dy2HgH crystal at the GGA-PBE level of DFT.

D(E_F): 8.36 states/eV per cell
uncorrected energy: -3.676 eV per atom
density: 10.34 g cm⁻³

a b c (Å): 8.581 5.373 7.510
angles (deg): 90.00 102.44 90.00
Positions (direct):
Dy  0.833  0.250  0.461
Dy  0.556  0.755  0.388
Dy  0.833  0.250  0.961
Dy  0.556  0.745  0.888
Dy  0.167  0.750  0.539
Dy  0.444  0.245  0.612
Dy  0.444  0.255  0.112
Dy  0.167  0.750  0.039
Hg  0.143  0.247  0.287
Hg  0.857  0.753  0.713
Hg  0.143  0.253  0.787
Hg  0.857  0.747  0.213
H  0.572  0.178  0.394
H  0.572  0.322  0.894
H  0.428  0.822  0.606
H  0.428  0.678  0.106

no.,M_tot (Bohr magnetons per cell)
1,0.00
2,0.00
3,0.00